The following is a DFT calculation (meta-GGA SCAN) of a PBEsol-optimized structure of ScP2Au.

The calculated volume is 15.81 A^3/atom. For the total DFT energy (no corrections), the calculation gives -106.2 eV for the cell shown. Its formation energy is -2.0 eV/f.u.

It has space group P4/mmm (No. 123), with a = 4.299 Å, b = 4.299 Å, c = 3.421 Å, α = 90.00°, β = 90.00° and γ = 90.00°. The distinct sites, in fractional coordinates, are Sc at (0.000, 0.000, 0.000), P at (0.000, 0.500, 0.500) and Au at (0.500, 0.500, 0.000).